1.
# BClF3 (PBE, optimized geometry)
# Raw formation energy (eV per formula unit): 2.840
# Mass density (g cm⁻³): 2.13
# Polymorph energy (0 for the lowest one) (meV per atom): 2526
# Total DFT energy (no corrections) (Ry/atom): -0.1661
data_BClF3
_chemical_formula_sum 'B1 Cl1 F3'
_symmetry_space_group_name_H-M 'P m -3 m'
_symmetry_Int_Tables_number 221
_symmetry_space_group_name_Hall '-P 4 2 3'
_cell_length_a 4.3182
_cell_length_b 4.3182
_cell_length_c 4.3182
_cell_angle_alpha 90.00
_cell_angle_beta 90.00
_cell_angle_gamma 90.00
loop_
_atom_site_label
_atom_site_type_symbol
_atom_site_fract_x
_atom_site_fract_y
_atom_site_fract_z
B1 B 0.0000 0.0000 0.0000
Cl1 Cl 0.5000 0.5000 0.5000
F1 F 0.0000 0.5000 0.5000

=====

2.
# BCl3F6 (PBE, optimized geometry)
# Raw formation energy (eV per formula unit): -11.674
# Mass density (g cm⁻³): 1.95
# Total DFT energy (no corrections) (Ry/atom): -0.2581
data_BCl3F6
_chemical_formula_sum 'B2 Cl6 F12'
_symmetry_space_group_name_H-M 'P 1 21 1'
_symmetry_Int_Tables_number 4
_symmetry_space_group_name_Hall 'P 2yb'
_cell_length_a 4.9490
_cell_length_b 9.7182
_cell_length_c 8.3401
_cell_angle_alpha 90.00
_cell_angle_beta 101.43
_cell_angle_gamma 90.00
loop_
_atom_site_label
_atom_site_type_symbol
_atom_site_fract_x
_atom_site_fract_y
_atom_site_fract_z
B1 B 0.1434 0.0000 0.0027
Cl1 Cl 0.1434 0.2892 0.4047
Cl2 Cl 0.2603 0.8474 0.9260
Cl3 Cl 0.4079 0.2596 0.6828
F1 F 0.0822 0.6575 0.5666
F2 F 0.1245 0.5231 0.0145
F3 F 0.1590 0.1436 0.7293
F4 F 0.3225 0.0885 0.0849
F5 F 0.3408 0.8748 0.3549
F6 F 0.3674 0.4200 0.3711